# 1
Compound: MgIn2GaSn2
Source: Alexandria via LeMat-Bulk
Functional: GGA-PBE
Structure: optimized geometry

Summary:
Calculated formation energy in meV per atom: -12.1
N(E_F) in states/eV per cell: 3.8
Electronic total energy in eV per atom: -3.03

a = 8.901 Å, b = 8.901 Å, c = 8.901 Å
α = 138.47°, β = 60.57°, γ = 137.96°
Sites, in units of the cell vectors:
Mg: 0.250 0.250 0.000
Mg: 0.750 0.750 0.000
In: 0.167 0.249 0.416
In: 0.333 0.749 0.082
In: 0.667 0.251 0.918
In: 0.833 0.751 0.584
Ga: 0.250 0.750 0.500
Ga: 0.750 0.250 0.500
Sn: 0.134 0.744 0.878
Sn: 0.366 0.244 0.610
Sn: 0.634 0.756 0.390
Sn: 0.866 0.256 0.122



# 2
Compound: Li2In3Ga
Source: Alexandria via LeMat-Bulk
Functional: GGA-PBE
Structure: optimized geometry

Summary:
Energy relative to the lowest polymorph listed for this composition in eV per formula unit: 0.000
Calculated formation energy in meV per atom: -162.6
N(E_F) in states/eV per cell: 4.6
Electronic total energy in eV per atom: -2.67

a = 8.300 Å, b = 8.300 Å, c = 4.377 Å
α = 104.67°, β = 104.67°, γ = 109.92°
Sites, in units of the cell vectors:
Li: 0.085 0.915 0.750
Li: 0.263 0.737 0.250
Li: 0.737 0.263 0.750
Li: 0.915 0.085 0.250
In: 0.000 0.500 0.500
In: 0.149 0.317 0.981
In: 0.317 0.149 0.481
In: 0.500 0.000 0.000
In: 0.683 0.851 0.519
In: 0.851 0.683 0.019
Ga: 0.422 0.578 0.750
Ga: 0.578 0.422 0.250



# 3
Compound: TeAu4Br
Source: Alexandria via LeMat-Bulk
Functional: GGA-PBE
Structure: optimized geometry

Summary:
N(E_F) in states/eV per cell: 6.5
Electronic total energy in eV per atom: -2.72

a = 5.686 Å, b = 5.686 Å, c = 5.686 Å
α = 60.00°, β = 60.00°, γ = 60.00°
Sites, in units of the cell vectors:
Te: 0.000 0.000 0.000
Au: 0.125 0.625 0.625
Au: 0.625 0.125 0.625
Au: 0.625 0.625 0.125
Au: 0.625 0.625 0.625
Br: 0.250 0.250 0.250



# 4
Compound: CuSnHg
Source: Alexandria via LeMat-Bulk
Functional: GGA-PBE
Structure: optimized geometry

Summary:
Energy relative to the lowest polymorph listed for this composition in eV per formula unit: 0.285
Calculated formation energy in meV per atom: 166.3
N(E_F) in states/eV per cell: 2.7
Electronic total energy in eV per atom: -2.63

a = 3.321 Å, b = 3.321 Å, c = 11.547 Å
α = 90.00°, β = 90.00°, γ = 90.00°
Sites, in units of the cell vectors:
Cu: 0.000 0.000 0.000
Cu: 0.500 0.500 0.500
Sn: 0.000 0.000 0.639
Sn: 0.500 0.500 0.139
Hg: 0.000 0.000 0.353
Hg: 0.500 0.500 0.853



# 5
Compound: AgAsOs2
Source: Alexandria via LeMat-Bulk
Functional: GGA-PBE
Structure: optimized geometry

Summary:
Calculated formation energy in meV per atom: 608.1
N(E_F) in states/eV per cell: 7.8
Electronic total energy in eV per atom: -6.88

a = 2.792 Å, b = 4.862 Å, c = 9.726 Å
α = 90.00°, β = 90.00°, γ = 90.00°
Sites, in units of the cell vectors:
Ag: 0.000 0.000 0.000
Ag: 0.500 0.500 0.000
As: 0.000 0.500 0.285
As: 0.500 0.000 0.285
Os: 0.000 0.000 0.517
Os: 0.000 0.500 0.741
Os: 0.500 0.000 0.741
Os: 0.500 0.500 0.517



# 6
Compound: Ce2InTc
Source: Alexandria via LeMat-Bulk
Functional: GGA-PBE
Structure: optimized geometry

Summary:
Energy relative to the lowest polymorph listed for this composition in eV per formula unit: 0.308
Calculated formation energy in meV per atom: -137.4
N(E_F) in states/eV per cell: 28.1
Electronic total energy in eV per atom: -6.38

a = 6.147 Å, b = 9.250 Å, c = 7.286 Å
α = 90.00°, β = 90.00°, γ = 90.00°
Sites, in units of the cell vectors:
Ce: 0.250 0.163 0.000
Ce: 0.250 0.337 0.500
Ce: 0.250 0.710 0.197
Ce: 0.250 0.790 0.697
Ce: 0.750 0.210 0.697
Ce: 0.750 0.290 0.197
Ce: 0.750 0.663 0.500
Ce: 0.750 0.837 0.000
In: 0.000 0.000 0.377
In: 0.000 0.500 0.877
In: 0.500 0.000 0.377
In: 0.500 0.500 0.877
Tc: 0.250 0.068 0.708
Tc: 0.250 0.432 0.208
Tc: 0.750 0.568 0.208
Tc: 0.750 0.932 0.708



| no. | V (Å³ per atom) |
| --- | --- |
| 1 | 25.81 |
| 2 | 21.20 |
| 3 | 21.67 |
| 4 | 21.22 |
| 5 | 16.50 |
| 6 | 25.89 |